[1]
10
Lattice="4.2024 0.0000 0.0000 -2.0982 6.7127 0.0000 -2.0976 -1.8507 6.6468" Properties=species:S:1:pos:R:3 comment="GaAu GGA-PBE relaxed" energy_ev_per_atom=-3.303 pbc="T T T"
Ga 0.0000 0.0000 0.0000
Ga -2.1061 5.0362 4.4442
Ga 0.0050 3.0157 1.7098
Ga 0.0016 1.8464 4.9370
Ga 2.1127 -0.1741 2.2026
Au -2.0979 2.4310 3.3234
Au -2.0867 4.9152 1.8272
Au -2.0937 2.9905 6.2655
Au 2.1002 1.8715 0.3813
Au 2.0932 -0.0531 4.8197

=====

[2]
12
Lattice="9.3514 0.0000 0.0000 0.0000 4.0003 0.0000 -3.5467 0.0000 9.0709" Properties=species:S:1:pos:R:3 comment="CsTbCuS3 GGA-PBE relaxed" energy_ev_per_atom=-4.868 magmom_total_mub_per_cell=0.0 pbc="T T T"
Cs 1.1205 1.0001 2.2227
Cs 4.6842 3.0002 6.8482
Tb 0.0328 3.0002 7.7892
Tb 5.7719 1.0001 1.2816
Cu -1.3734 1.0001 5.5097
Cu 7.1781 3.0002 3.5611
S -1.8517 1.0001 7.7542
S -0.3245 3.0002 4.9562
S 3.8876 3.0002 1.4200
S 1.9171 1.0001 7.6509
S 6.1291 1.0001 4.1147
S 7.6563 3.0002 1.3166

=====

[3]
32
Lattice="5.5561 0.0000 0.0000 0.0000 3.9364 0.0000 -0.0268 0.0000 31.2952" Properties=species:S:1:pos:R:3 comment="CoSi17Ge14 GGA-PBE relaxed" energy_ev_per_atom=-5.070 magmom_total_mub_per_cell=0.0 pbc="T T T"
Co 0.0000 0.0000 0.0000
Si 1.3125 1.9682 19.6159
Si 1.3694 1.9682 11.7915
Si 1.3786 1.9682 3.9103
Si 2.7518 1.9682 5.8256
Si 2.7475 1.9682 21.4815
Si 2.7589 1.9682 13.6812
Si 2.7504 1.9682 29.4401
Si 4.0875 0.0000 5.8281
Si 4.0846 0.0000 13.7204
Si 4.0873 0.0000 21.5144
Si 4.1064 0.0000 29.5756
Si 4.1425 0.0000 25.4158
Si 4.1920 0.0000 1.7499
Si 5.4727 0.0000 7.7420
Si 5.4585 0.0000 23.4469
Si 5.4710 0.0000 15.6201
Si 5.5293 0.0000 19.6311
Ge 1.1355 1.9682 31.2775
Ge 1.3064 1.9682 7.7616
Ge 1.3051 1.9682 15.6039
Ge 1.2992 1.9682 23.4070
Ge 1.3741 1.9682 27.4586
Ge 2.6956 1.9682 9.7980
Ge 2.6898 1.9682 17.6429
Ge 2.7604 1.9682 1.9182
Ge 2.7449 1.9682 25.4070
Ge 4.1499 0.0000 9.7525
Ge 4.1569 0.0000 17.6381
Ge 5.4412 0.0000 27.4869
Ge 5.5211 0.0000 3.8407
Ge 5.5404 0.0000 11.7949

=====

[4]
2
Lattice="0.0000 3.4341 3.4341 3.4341 0.0000 3.4341 3.4341 3.4341 0.0000" Properties=species:S:1:pos:R:3 comment="UIn GGA-PBE relaxed" energy_ev_per_atom=-5.123 magmom_total_mub_per_cell=2.9 pbc="T T T"
U 0.0000 0.0000 0.0000
In 1.7170 1.7170 1.7170

=====

[5]
11
Lattice="-2.2346 3.4831 7.3691 2.2346 -3.4831 7.3691 2.2346 3.4831 -7.3691" Properties=species:S:1:pos:R:3 comment="GdDy2Cu4Sn4 GGA-PBE relaxed" energy_ev_per_atom=-4.586 magmom_total_mub_per_cell=0.0 pbc="T T T"
Gd 0.0000 0.0000 0.0000
Dy 2.2346 0.0000 5.4352
Dy 0.0000 3.4831 1.9339
Cu 2.2346 1.3115 -2.5137
Cu 2.2346 1.3115 2.5137
Cu 0.0000 2.1716 4.8554
Cu 0.0000 2.1716 9.8828
Sn 0.0000 0.0000 3.1876
Sn 2.2346 2.0763 0.0000
Sn 0.0000 1.4068 7.3691
Sn 0.0000 0.0000 11.5506

=====

[6]
3
Lattice="0.0000 4.2780 4.2780 4.2780 0.0000 4.2780 4.2780 4.2780 0.0000" Properties=species:S:1:pos:R:3 comment="CsHfNp GGA-PBE relaxed" energy_ev_per_atom=-5.285 magmom_total_mub_per_cell=7.6 pbc="T T T"
Cs 0.0000 0.0000 0.0000
Hf 6.4170 6.4170 6.4170
Np 2.1390 2.1390 2.1390